(1)
First-principles (PBE) data for a relaxed RbPuF crystal, as listed in Alexandria.

abc: 3.448 3.532 13.034
angles: 90.60 92.20 90.00
Space group P-1 (No. 2)
Inequivalent atoms, fractional coordinates:
Rb: 0.234 0.262 0.315 x2
Pu: 0.372 0.248 0.953 x2
F: 0.277 0.241 0.774 x2

Summary:
E_form (uncorrected) = -1.358 eV per atom
Total DFT energy (no corrections) = -7.08 eV per atom

---

(2)
First-principles (PBE) data for a relaxed RbPu2F6 crystal, as listed in Alexandria.

abc: 6.5428 6.5428 5.4715
angles: 90.00 90.00 120.00
Space group P-31m (No. 162)
Inequivalent atoms, fractional coordinates:
Rb: 0.0000 0.0000 0.0000 x1
Pu: 0.3333 0.6667 0.5000 x2
F: 0.0000 0.3726 0.7146 x6

Summary:
E_form (uncorrected) = -3.254 eV per atom
Total DFT energy (no corrections) = -7.79 eV per atom

---

(3)
First-principles (PBE) data for a relaxed RbPu3F9 crystal, as listed in Alexandria.

abc: 8.8085 8.8085 4.6295
angles: 90.00 90.00 120.00
Space group P6/mmm (No. 191)
Inequivalent atoms, fractional coordinates:
Rb: 0.0000 0.0000 0.0000 x1
Pu: 0.0000 0.5000 0.5000 x3
F: 0.0000 0.5000 0.0000 x3
F: 0.1975 0.3950 0.5000 x6

Summary:
E_form (uncorrected) = -3.345 eV per atom
Total DFT energy (no corrections) = -8.02 eV per atom

---

Values of M_tot, in order: 0.00, 11.00, 15.96, all in μB per cell.